(a)
# BaZrRu2

A geometry-optimized BaZrRu2 structure (PBEsol, Alexandria via LeMat-Bulk).

Summary:
As for the size of the total moment: 0.0 μB/f.u.

a b c (Å): 3.0260 3.6887 8.0975
angles (deg): 90.00 90.00 90.00
Last column: nearest neighbours and their distance in Å.
Space group Pmm2 (No. 25)
Unique sites:
Ba1 0.0000 0.0000 0.0000 (multiplicity 1)  2 Ba 3.03
Zr1 0.5000 0.5000 0.6148 (multiplicity 1)  1 Ru 2.49
Ru1 0.0000 0.0000 0.4291 (multiplicity 1)  4 Ru 2.58, 4 Zr 2.82
Ru2 0.5000 0.5000 0.3075 (multiplicity 1)  1 Zr 2.49, 4 Ru 2.58


(b)
# BaZrRu2

A geometry-optimized BaZrRu2 structure (PBEsol, Alexandria via LeMat-Bulk).

Summary:
As for the size of the total moment: 0.0 μB/f.u.

a b c (Å): 3.9518 3.9518 10.0365
angles (deg): 90.00 90.00 90.00
Last column: nearest neighbours and their distance in Å.
Space group I-4m2 (No. 119)
Unique sites:
Ba1 0.0000 0.0000 0.0000 (multiplicity 2)  4 Ru 2.79
Zr1 0.0000 0.5000 0.7500 (multiplicity 2)  4 Ru 2.79
Ru1 0.0000 0.0000 0.5000 (multiplicity 2)  4 Ba 2.79
Ru2 0.0000 0.5000 0.2500 (multiplicity 2)  4 Zr 2.79


Short version: (b) is the least stable of them.


(a)
# AlMo2As

A geometry-optimized AlMo2As structure (PBEsol, Alexandria via LeMat-Bulk).

Summary:
As for the size of the total moment: 0.0 μB/f.u.

a b c (Å): 2.9333 2.9333 24.7410
angles (deg): 90.00 90.00 120.00
Last column: nearest neighbours and their distance in Å.
Space group R-3m (No. 166, hexagonal axes)
Unique sites:
Al1 0.0000 0.0000 0.0000 (multiplicity 3)  6 Mo 2.76, 6 Al 2.93
Mo1 0.0000 0.0000 0.2450 (multiplicity 6)  3 As 2.57, 3 Al 2.76
As1 0.0000 0.0000 0.5000 (multiplicity 3)  6 Mo 2.57


(b)
# AlMo2As

A geometry-optimized AlMo2As structure (PBEsol, Alexandria via LeMat-Bulk).

Summary:
As for the size of the total moment: 0.0 μB/f.u.

a b c (Å): 3.3320 4.2813 8.3662
angles (deg): 90.00 90.00 90.00
Last column: nearest neighbours and their distance in Å.
Space group Imm2 (No. 44)
Unique sites:
Al1 0.0000 0.0000 0.0000 (multiplicity 2)  8 Mo 2.69-2.98, 4 As 2.75-2.93
Mo1 0.0000 0.0000 0.4975 (multiplicity 2)  2 As 2.62, 2 Mo 2.64, 4 Al 2.71
Mo2 0.0000 0.5000 0.7520 (multiplicity 2)  2 Mo 2.64, 2 Al 2.69, 4 As 2.71
As1 0.0000 0.5000 0.2386 (multiplicity 2)  6 Mo 2.62-2.71, 4 Al 2.75-2.93


Short version: (a) is the least stable of them.


(a)
# NaFe3Te

A geometry-optimized NaFe3Te structure (PBEsol, Alexandria via LeMat-Bulk).

Summary:
As for the size of the total moment: 8.5 μB/f.u.

a b c (Å): 4.4564 4.4564 4.4564
angles (deg): 90.00 90.00 90.00
Last column: nearest neighbours and their distance in Å.
Space group Pm-3m (No. 221)
Unique sites:
Na1 0.0000 0.0000 0.0000 (multiplicity 1)  6 Fe 2.23
Fe1 0.0000 0.0000 0.5000 (multiplicity 3)  2 Na 2.23
Te1 0.5000 0.5000 0.5000 (multiplicity 1)  12 Fe 3.15


(b)
# NaFe3Te

A geometry-optimized NaFe3Te structure (PBEsol, Alexandria via LeMat-Bulk).

Summary:
As for the size of the total moment: 7.1 μB/f.u.

a b c (Å): 4.7431 4.7431 4.7431
angles (deg): 90.00 90.00 90.00
Last column: nearest neighbours and their distance in Å.
Space group Pm-3m (No. 221)
Unique sites:
Na1 0.0000 0.0000 0.0000 (multiplicity 1)  12 Fe 3.35
Fe1 0.0000 0.5000 0.5000 (multiplicity 3)  2 Te 2.37
Te1 0.5000 0.5000 0.5000 (multiplicity 1)  6 Fe 2.37


Short version: (a) is the least stable of them.


(a)
# TcSb2As

A geometry-optimized TcSb2As structure (PBEsol, Alexandria via LeMat-Bulk).

Summary:
As for the size of the total moment: 0.0 μB/f.u.

a b c (Å): 4.8251 4.8251 3.3257
angles (deg): 90.00 90.00 90.00
Last column: nearest neighbours and their distance in Å.
Space group P4/mmm (No. 123)
Unique sites:
Tc1 0.0000 0.0000 0.0000 (multiplicity 1)  8 Sb 2.93
Sb1 0.0000 0.5000 0.5000 (multiplicity 2)  4 As 2.93, 4 Tc 2.93
As1 0.5000 0.5000 0.0000 (multiplicity 1)  8 Sb 2.93


(b)
# TcSb2As

A geometry-optimized TcSb2As structure (PBEsol, Alexandria via LeMat-Bulk).

Summary:
As for the size of the total moment: 0.0 μB/f.u.

a b c (Å): 4.5879 4.5879 7.2945
angles (deg): 90.00 90.00 90.00
Last column: nearest neighbours and their distance in Å.
Space group I4/mmm (No. 139)
Unique sites:
Tc1 0.0000 0.0000 0.0000 (multiplicity 2)  8 Sb 2.93, 4 As 3.24
Sb1 0.0000 0.5000 0.2500 (multiplicity 4)  4 As 2.93, 4 Tc 2.93, 4 Sb 3.24
As1 0.0000 0.0000 0.5000 (multiplicity 2)  8 Sb 2.93, 4 Tc 3.24


Short version: (a) is the least stable of them.